! CsTe2BrN, optimized geometry, DFT PBE; values from VASP
&SYSTEM
  ibrav = 0, nat = 5, ntyp = 4
/
ATOMIC_SPECIES
Cs 132.91 Cs.upf
Te 127.60 Te.upf
Br 79.90 Br.upf
N 14.01 N.upf
CELL_PARAMETERS angstrom
-3.6302 1.3763 5.7912
5.7654 -0.8744 3.8218
0.7692 3.5215 -0.3547
ATOMIC_POSITIONS crystal
Cs 0.5000 0.5000 0.5000
Te 0.0000 0.5000 0.0000
Te 0.5000 0.0000 0.0000
Br 0.0000 0.0000 0.0000
N 0.0000 0.0000 0.5000
! E_form (uncorrected) = 0.7979 eV/atom
! total energy = -2.6291 eV/atom
! calculated density = 4.5 g/cm³

! LaMgGa, optimized geometry, DFT PBE; values from VASP
&SYSTEM
  ibrav = 0, nat = 6, ntyp = 3
/
ATOMIC_SPECIES
Mg 24.30 Mg.upf
Ga 69.72 Ga.upf
La 138.91 La.upf
CELL_PARAMETERS angstrom
-0.1291 0.0779 -4.4426
0.9906 -4.6208 -0.1097
-6.8020 -1.5149 2.3662
ATOMIC_POSITIONS crystal
Mg 0.7281 0.7172 0.3293
Mg 0.3621 0.7171 0.5998
Ga 0.8586 0.2168 0.5934
Ga 0.4888 0.2167 0.8533
La 0.1892 0.2170 0.2489
La 0.0264 0.7167 0.9322
! total energy = -3.4417 eV/atom
! DFT formation energy = -259 meV/atom
! calculated density = 5.2 g/cm³

Please write out number 2 again, unchanged.
! LaMgGa, optimized geometry, DFT PBE; values from VASP
&SYSTEM
  ibrav = 0, nat = 6, ntyp = 3
/
ATOMIC_SPECIES
Mg 24.30 Mg.upf
Ga 69.72 Ga.upf
La 138.91 La.upf
CELL_PARAMETERS angstrom
-0.1291 0.0779 -4.4426
0.9906 -4.6208 -0.1097
-6.8020 -1.5149 2.3662
ATOMIC_POSITIONS crystal
Mg 0.7281 0.7172 0.3293
Mg 0.3621 0.7171 0.5998
Ga 0.8586 0.2168 0.5934
Ga 0.4888 0.2167 0.8533
La 0.1892 0.2170 0.2489
La 0.0264 0.7167 0.9322
! total energy = -3.4417 eV/atom
! DFT formation energy = -259 meV/atom
! calculated density = 5.2 g/cm³